A plane-wave DFT calculation with PBE was carried out for ScReAg after structural relaxation.

Cell and atoms, written as CIF:
```
data_ScReAg
_space_group_name_H-M_alt 'F -4 3 m'
_space_group_IT_number 216
_space_group_name_Hall 'F -4 2 3'
_cell_length_a 6.3372
_cell_length_b 6.3372
_cell_length_c 6.3372
_cell_angle_alpha 90.00
_cell_angle_beta 90.00
_cell_angle_gamma 90.00
loop_
_atom_site_label
_atom_site_type_symbol
_atom_site_fract_x
_atom_site_fract_y
_atom_site_fract_z
Sc1 Sc 0.0000 0.0000 0.0000
Re1 Re 0.2500 0.2500 0.2500
Ag1 Ag 0.2500 0.2500 0.7500
```

Formation enthalpy at 0 K ... 3.7 eV per formula unit
Polymorph energy (0 for the lowest one) ... 0.993 eV per atom

A plane-wave DFT calculation with PBE was carried out for Ho4Er3Zr after structural relaxation.

Cell and atoms, written as CIF:
```
data_Ho4Er3Zr
_space_group_name_H-M_alt 'P m n 21'
_space_group_IT_number 31
_cell_length_a 11.0091
_cell_length_b 7.1080
_cell_length_c 6.1277
_cell_angle_alpha 90.00
_cell_angle_beta 90.00
_cell_angle_gamma 90.00
loop_
_space_group_symop_operation_xyz
'x,y,z'
'-x+1/2,-y,z+1/2'
'-x,y,z'
'x+1/2,-y,z+1/2'
loop_
_atom_site_label
_atom_site_type_symbol
_atom_site_fract_x
_atom_site_fract_y
_atom_site_fract_z
Ho1 Ho 0.0000 0.1276 0.0000
Ho2 Ho 0.0000 0.8676 0.4974
Ho3 Ho 0.2444 0.8704 0.8394
Er1 Er 0.0000 0.3834 0.4998
Er2 Er 0.2482 0.3794 0.8287
Zr1 Zr 0.0000 0.6238 0.0034
```

Formation enthalpy at 0 K ... 0.3 eV per formula unit
Polymorph energy (0 for the lowest one) ... 0.000 eV per atom

A plane-wave DFT calculation with PBE was carried out for CeSm12Dy7 after structural relaxation.

Cell and atoms, written as CIF:
```
data_CeSm12Dy7
_space_group_name_H-M_alt 'R -3 m'
_space_group_IT_number 166
_space_group_name_Hall '-R 3 2"'
_cell_length_a 17.0081
_cell_length_b 17.0081
_cell_length_c 8.1250
_cell_angle_alpha 90.00
_cell_angle_beta 90.00
_cell_angle_gamma 120.00
loop_
_atom_site_label
_atom_site_type_symbol
_atom_site_fract_x
_atom_site_fract_y
_atom_site_fract_z
Ce1 Ce 0.0000 0.0000 0.0000
Sm1 Sm 0.0000 0.2877 0.0000
Sm2 Sm 0.1060 0.5530 0.9658
Dy1 Dy 0.0000 0.0000 0.5000
Dy2 Dy 0.1090 0.2180 0.7337
```

Formation enthalpy at 0 K ... 4.9 eV per formula unit
Polymorph energy (0 for the lowest one) ... 0.000 eV per atom

A plane-wave DFT calculation with PBE was carried out for SmHo2Bi after structural relaxation.

Cell and atoms, written as CIF:
```
data_SmHo2Bi
_space_group_name_H-M_alt 'P 1 21/m 1'
_space_group_IT_number 11
_cell_length_a 4.6494
_cell_length_b 4.6186
_cell_length_c 11.7353
_cell_angle_alpha 90.00
_cell_angle_beta 101.43
_cell_angle_gamma 90.00
loop_
_space_group_symop_operation_xyz
'x,y,z'
'-x,-y,-z'
'-x,y+1/2,-z'
'x,-y+1/2,z'
loop_
_atom_site_label
_atom_site_type_symbol
_atom_site_fract_x
_atom_site_fract_y
_atom_site_fract_z
Sm1 Sm 0.1936 0.2500 0.3867
Ho1 Ho 0.0587 0.7500 0.1175
Ho2 Ho 0.4418 0.7500 0.8834
Bi1 Bi 0.3345 0.2500 0.6699
```

Formation enthalpy at 0 K ... -1.8 eV per formula unit
Polymorph energy (0 for the lowest one) ... 0.000 eV per atom

A plane-wave DFT calculation with PBE was carried out for Tl2AgMo after structural relaxation.

Cell and atoms, written as CIF:
```
data_Tl2AgMo
_space_group_name_H-M_alt 'I 4/m m m'
_space_group_IT_number 139
_space_group_name_Hall '-I 4 2'
_cell_length_a 4.3153
_cell_length_b 4.3153
_cell_length_c 8.8846
_cell_angle_alpha 90.00
_cell_angle_beta 90.00
_cell_angle_gamma 90.00
loop_
_atom_site_label
_atom_site_type_symbol
_atom_site_fract_x
_atom_site_fract_y
_atom_site_fract_z
Tl1 Tl 0.0000 0.5000 0.2500
Ag1 Ag 0.0000 0.0000 0.0000
Mo1 Mo 0.0000 0.0000 0.5000
```

Formation enthalpy at 0 K ... 3.1 eV per formula unit
Polymorph energy (0 for the lowest one) ... 0.224 eV per atom

A plane-wave DFT calculation with PBE was carried out for SrCoTeBr2 after structural relaxation.

Cell and atoms, written as CIF:
```
data_SrCoTeBr2
_space_group_name_H-M_alt 'P 4/m m m'
_space_group_IT_number 123
_space_group_name_Hall '-P 4 2'
_cell_length_a 4.7597
_cell_length_b 4.7597
_cell_length_c 7.2517
_cell_angle_alpha 90.00
_cell_angle_beta 90.00
_cell_angle_gamma 90.00
loop_
_atom_site_label
_atom_site_type_symbol
_atom_site_fract_x
_atom_site_fract_y
_atom_site_fract_z
Sr1 Sr 0.0000 0.0000 0.0000
Co1 Co 0.0000 0.0000 0.5000
Te1 Te 0.5000 0.5000 0.0000
Br1 Br 0.0000 0.5000 0.5000
```

Formation energy without anion corrections ... -0.460 eV/atom

A plane-wave DFT calculation with PBE was carried out for RbSmSBr after structural relaxation.

Cell and atoms, written as CIF:
```
data_RbSmSBr
_space_group_name_H-M_alt 'C 1 m 1'
_space_group_IT_number 8
_cell_length_a 7.1550
_cell_length_b 4.1388
_cell_length_c 8.5816
_cell_angle_alpha 90.00
_cell_angle_beta 106.10
_cell_angle_gamma 90.00
loop_
_space_group_symop_operation_xyz
'x,y,z'
'x,-y,z'
'x+1/2,y+1/2,z'
'x+1/2,-y+1/2,z'
loop_
_atom_site_label
_atom_site_type_symbol
_atom_site_fract_x
_atom_site_fract_y
_atom_site_fract_z
Rb1 Rb 0.0000 0.0000 0.0000
Sm1 Sm 0.1883 0.0000 0.5662
S1 S 0.0810 0.5000 0.7427
Br1 Br 0.2753 0.5000 0.3273
```

Formation energy without anion corrections ... -1.548 eV/atom

A plane-wave DFT calculation with PBE was carried out for Sr3SnHg after structural relaxation.

Cell and atoms, written as CIF:
```
data_Sr3SnHg
_space_group_name_H-M_alt 'P 1 21/c 1'
_space_group_IT_number 14
_cell_length_a 10.0309
_cell_length_b 8.8114
_cell_length_c 9.8998
_cell_angle_alpha 90.00
_cell_angle_beta 119.56
_cell_angle_gamma 90.00
loop_
_space_group_symop_operation_xyz
'x,y,z'
'-x,-y,-z'
'-x,y+1/2,-z+1/2'
'x,-y+1/2,z+1/2'
loop_
_atom_site_label
_atom_site_type_symbol
_atom_site_fract_x
_atom_site_fract_y
_atom_site_fract_z
Sr1 Sr 0.9998 0.0000 0.2054
Sr2 Sr 0.2674 0.1303 0.6330
Sr3 Sr 0.3904 0.7495 0.4458
Sn1 Sn 0.1157 0.7120 0.0581
Hg1 Hg 0.3620 0.0126 0.1823
```

Formation enthalpy at 0 K ... -2.4 eV per formula unit
Polymorph energy (0 for the lowest one) ... 0.041 eV per atom

no.,VASP energy (eV/atom)
1,-5.98
2,-5.03
3,-4.49
4,-4.89
5,-3.82
6,-3.51
7,-4.42
8,-2.35